No. 1
DFT (PBE-GGA) results for a relaxed BaGa4Pt3 crystal.

Cell lengths 4.421, 4.421, 8.353 Å; angles 90.00, 90.00, 90.00 degrees
Element x y z (fractional)
Pt: 0.000 0.000 0.000
Pt: 0.500 0.500 0.326
Pt: 0.500 0.500 0.674
Ba: 0.000 0.000 0.500
Ga: 0.000 0.500 0.169
Ga: 0.000 0.500 0.831
Ga: 0.500 0.000 0.831
Ga: 0.500 0.000 0.169

Summary:
* volume: 163.29 Å³/cell
* calculated density: 10.2 Mg/m³
* magnetic moment: 0.00 Bohr magnetons per cell
* formation energy: -0.70 eV per atom

---

No. 2
DFT (PBE-GGA) results for a relaxed BaGa3Pt5 crystal.

Cell lengths 4.126, 6.884, 12.917 Å; angles 90.00, 90.00, 107.44 degrees
Element x y z (fractional)
Ba: 0.832 0.665 0.750
Ba: 0.168 0.335 0.250
Ga: 0.381 0.762 0.959
Ga: 0.898 0.795 0.250
Ga: 0.381 0.762 0.541
Ga: 0.619 0.238 0.459
Ga: 0.102 0.205 0.750
Ga: 0.619 0.238 0.041
Pt: 0.802 0.604 0.430
Pt: 0.198 0.396 0.930
Pt: 0.000 0.000 0.500
Pt: 0.000 0.000 0.000
Pt: 0.450 0.900 0.143
Pt: 0.550 0.100 0.857
Pt: 0.550 0.100 0.643
Pt: 0.802 0.604 0.070
Pt: 0.198 0.396 0.570
Pt: 0.450 0.900 0.357

Summary:
* volume: 349.98 Å³/cell
* calculated density: 12.5 Mg/m³
* magnetic moment: 0.00 Bohr magnetons per cell
* formation energy: -0.70 eV per atom

---

No. 3
DFT (PBE-GGA) results for a relaxed BaGa4Pt2 crystal.

Cell lengths 6.052, 6.052, 4.508 Å; angles 68.14, 68.14, 69.83 degrees
Element x y z (fractional)
Pt: 0.329 0.329 0.172
Pt: 0.671 0.671 0.828
Ba: 0.000 0.000 0.000
Ga: 0.551 0.153 0.648
Ga: 0.449 0.847 0.352
Ga: 0.847 0.449 0.352
Ga: 0.153 0.551 0.648

Summary:
* volume: 138.09 Å³/cell
* calculated density: 9.7 Mg/m³
* magnetic moment: 0.00 Bohr magnetons per cell
* formation energy: -0.68 eV per atom

---

No. 4
DFT (PBE-GGA) results for a relaxed Ba2Ga3Pt crystal.

Cell lengths 6.705, 6.705, 8.864 Å; angles 109.45, 109.45, 96.88 degrees
Element x y z (fractional)
Ba: 0.750 0.250 0.500
Ba: 0.733 0.267 0.000
Ba: 0.250 0.750 0.500
Ba: 0.267 0.733 0.000
Ga: 0.836 0.836 0.170
Ga: 0.666 0.666 0.830
Ga: 0.164 0.164 0.830
Ga: 0.334 0.334 0.170
Ga: 0.169 0.169 0.338
Ga: 0.831 0.831 0.662
Pt: 0.666 0.666 0.331
Pt: 0.334 0.334 0.669

Summary:
* volume: 342.19 Å³/cell
* calculated density: 6.6 Mg/m³
* magnetic moment: 0.00 Bohr magnetons per cell
* formation energy: -0.59 eV per atom

---

No. 5
DFT (PBE-GGA) results for a relaxed Ba3Ga6Pt5 crystal.

Cell lengths 4.271, 11.594, 13.312 Å; angles 90.00, 90.00, 90.00 degrees
Element x y z (fractional)
Ba: 0.000 0.248 0.660
Ba: 0.500 0.752 0.160
Ba: 0.500 0.752 0.840
Ba: 0.000 0.260 0.000
Ba: 0.500 0.740 0.500
Ba: 0.000 0.248 0.340
Ga: 0.000 0.003 0.829
Ga: 0.500 0.997 0.671
Ga: 0.500 0.430 0.800
Ga: 0.500 0.518 0.000
Ga: 0.000 0.482 0.500
Ga: 0.000 0.570 0.700
Ga: 0.000 0.570 0.300
Ga: 0.500 0.021 0.000
Ga: 0.000 0.003 0.171
Ga: 0.500 0.430 0.200
Ga: 0.000 0.979 0.500
Ga: 0.500 0.997 0.329
Pt: 0.000 0.517 0.889
Pt: 0.000 0.875 0.671
Pt: 0.000 0.906 0.000
Pt: 0.500 0.483 0.611
Pt: 0.500 0.094 0.500
Pt: 0.000 0.517 0.111
Pt: 0.500 0.483 0.389
Pt: 0.000 0.875 0.329
Pt: 0.500 0.125 0.829
Pt: 0.500 0.125 0.171

Summary:
* volume: 659.19 Å³/cell
* calculated density: 9.1 Mg/m³
* magnetic moment: 0.00 Bohr magnetons per cell
* formation energy: -0.73 eV per atom

---

No. 6
DFT (PBE-GGA) results for a relaxed BaGa4Pt4 crystal.

Cell lengths 6.478, 6.478, 8.498 Å; angles 90.00, 90.00, 90.00 degrees
Element x y z (fractional)
Ba: 0.000 0.000 0.000
Ba: 0.500 0.500 0.500
Ga: 0.245 0.500 0.876
Ga: 0.755 0.500 0.876
Ga: 0.500 0.755 0.124
Ga: 0.500 0.245 0.124
Ga: 0.000 0.745 0.376
Ga: 0.000 0.255 0.376
Ga: 0.255 0.000 0.624
Ga: 0.745 0.000 0.624
Pt: 0.500 0.793 0.823
Pt: 0.500 0.207 0.823
Pt: 0.793 0.500 0.177
Pt: 0.207 0.500 0.177
Pt: 0.293 0.000 0.323
Pt: 0.707 0.000 0.323
Pt: 0.000 0.293 0.677
Pt: 0.000 0.707 0.677

Summary:
* volume: 356.66 Å³/cell
* calculated density: 11.1 Mg/m³
* magnetic moment: 0.00 Bohr magnetons per cell
* formation energy: -0.71 eV per atom

---

No. 7
DFT (PBE-GGA) results for a relaxed Ba3Ga9Pt2 crystal.

Cell lengths 4.428, 8.917, 8.917 Å; angles 80.97, 75.62, 75.62 degrees
Element x y z (fractional)
Ba: 0.000 0.000 0.000
Ba: 0.694 0.306 0.306
Ba: 0.306 0.694 0.694
Ga: 0.000 0.500 0.500
Ga: 0.678 0.993 0.652
Ga: 0.322 0.007 0.348
Ga: 0.678 0.652 0.993
Ga: 0.322 0.348 0.007
Ga: 0.888 0.819 0.405
Ga: 0.112 0.181 0.595
Ga: 0.888 0.405 0.819
Ga: 0.112 0.595 0.181
Pt: 0.500 0.272 0.728
Pt: 0.500 0.728 0.272

Summary:
* volume: 328.65 Å³/cell
* calculated density: 7.2 Mg/m³
* magnetic moment: 0.00 Bohr magnetons per cell
* formation energy: -0.52 eV per atom

---

No. 8
DFT (PBE-GGA) results for a relaxed Ba2Ga9Pt3 crystal.

Cell lengths 7.963, 7.963, 10.975 Å; angles 89.98, 111.02, 120.41 degrees
Element x y z (fractional)
Ba: 0.334 0.249 0.750
Ba: 0.666 0.751 0.250
Ba: 0.999 0.585 0.750
Ba: 0.001 0.415 0.250
Ga: 0.468 0.920 0.748
Ga: 0.532 0.080 0.252
Ga: 0.672 0.720 0.752
Ga: 0.328 0.280 0.248
Ga: 0.454 0.647 0.926
Ga: 0.546 0.353 0.074
Ga: 0.221 0.528 0.574
Ga: 0.779 0.472 0.426
Ga: 0.869 0.119 0.750
Ga: 0.131 0.881 0.250
Ga: 0.133 0.984 0.948
Ga: 0.867 0.016 0.052
Ga: 0.535 0.184 0.552
Ga: 0.465 0.816 0.448
Ga: 0.877 0.859 0.575
Ga: 0.123 0.141 0.425
Ga: 0.784 0.302 0.925
Ga: 0.216 0.698 0.075
Pt: 0.500 0.000 0.000
Pt: 0.500 0.500 0.500
Pt: 0.830 0.167 0.500
Pt: 0.170 0.833 0.500
Pt: 0.167 0.330 0.000
Pt: 0.833 0.670 0.000

Summary:
* volume: 545.86 Å³/cell
* calculated density: 9.0 Mg/m³
* magnetic moment: 0.00 Bohr magnetons per cell
* formation energy: -0.57 eV per atom

---

No. 9
DFT (PBE-GGA) results for a relaxed Ba2GaPt crystal.

Cell lengths 4.531, 4.531, 9.059 Å; angles 75.72, 75.72, 60.03 degrees
Element x y z (fractional)
Ba: 0.043 0.043 0.874
Ba: 0.207 0.207 0.376
Ga: 0.792 0.792 0.625
Pt: 0.458 0.458 0.625

Summary:
* volume: 154.41 Å³/cell
* calculated density: 5.8 Mg/m³
* magnetic moment: 0.00 Bohr magnetons per cell
* formation energy: -0.64 eV per atom

---

No. 10
DFT (PBE-GGA) results for a relaxed Ba3Ga4Pt crystal.

Cell lengths 6.294, 6.025, 12.844 Å; angles 90.00, 90.00, 90.00 degrees
Element x y z (fractional)
Pt: 0.668 0.500 0.000
Pt: 0.332 0.000 0.500
Ba: 0.512 0.000 0.000
Ba: 0.488 0.500 0.500
Ba: 0.798 0.500 0.764
Ba: 0.798 0.500 0.236
Ba: 0.202 0.000 0.736
Ba: 0.202 0.000 0.264
Ga: 0.306 0.500 0.890
Ga: 0.306 0.500 0.110
Ga: 0.014 0.249 0.000
Ga: 0.014 0.751 0.000
Ga: 0.986 0.749 0.500
Ga: 0.986 0.251 0.500
Ga: 0.694 0.000 0.390
Ga: 0.694 0.000 0.610

Summary:
* volume: 487.02 Å³/cell
* calculated density: 6.0 Mg/m³
* magnetic moment: 0.00 Bohr magnetons per cell
* formation energy: -0.51 eV per atom

---

No. 11
DFT (PBE-GGA) results for a relaxed Ba4Ga3Pt crystal.

Cell lengths 5.148, 4.562, 11.732 Å; angles 90.00, 90.00, 90.00 degrees
Element x y z (fractional)
Pt: 0.500 0.500 0.052
Ba: 0.500 0.500 0.346
Ba: 0.000 0.500 0.863
Ba: 0.000 0.000 0.147
Ba: 0.500 0.000 0.643
Ga: 0.000 0.500 0.552
Ga: 0.000 0.000 0.443
Ga: 0.500 0.000 0.956

Summary:
* volume: 275.53 Å³/cell
* calculated density: 5.7 Mg/m³
* magnetic moment: 0.00 Bohr magnetons per cell
* formation energy: -0.49 eV per atom

---

No. 12
DFT (PBE-GGA) results for a relaxed Ba3Ga2Pt2 crystal.

Cell lengths 4.929, 4.415, 10.333 Å; angles 102.34, 103.80, 90.00 degrees
Element x y z (fractional)
Ba: 0.000 0.000 0.000
Ba: 0.187 0.687 0.374
Ba: 0.813 0.313 0.626
Ga: 0.569 0.569 0.138
Ga: 0.431 0.431 0.862
Pt: 0.635 0.135 0.270
Pt: 0.365 0.865 0.730

Summary:
* volume: 213.03 Å³/cell
* calculated density: 7.3 Mg/m³
* magnetic moment: 0.00 Bohr magnetons per cell
* formation energy: -0.66 eV per atom